Entry 1:
CaHf2SiS | PBE | relaxed

POSCAR file:
```
CaHf2SiS
1.0
4.748 0.000 0.000
0.000 4.748 0.000
0.000 0.000 5.040
Ca Hf Si S
1 2 1 1
Direct
0.000 0.000 0.000
0.000 0.500 0.500
0.500 0.000 0.500
0.500 0.500 0.000
0.000 0.000 0.500
```

Total magnetization: 0.00 μB/cell
Formation energy without anion corrections: -0.16 eV per atom

=====

Entry 2:
BaLiRh | PBE | relaxed

POSCAR file:
```
BaLiRh
1.0
4.422 0.000 0.000
-2.211 3.830 0.000
0.000 0.000 4.412
Ba Li Rh
1 1 1
Direct
0.000 0.000 0.000
0.667 0.333 0.500
0.333 0.667 0.500
```

Total magnetization: 0.00 μB/cell
Distance to the lowest polymorph of the same formula: 21 meV per atom
Formation energy from the elements: -0.039 eV/atom

=====

Entry 3:
BeCoAu2 | PBE | relaxed

POSCAR file:
```
BeCoAu2
1.0
2.841 0.000 0.000
0.000 2.841 0.000
0.000 0.000 6.786
Be Co Au
1 1 2
Direct
0.000 0.000 0.000
0.500 0.500 0.169
0.000 0.000 0.436
0.500 0.500 0.771
```

Total magnetization: 1.12 μB/cell
Formation energy from the elements: 0.020 eV/atom

=====

Entry 4:
CaTiHg2 | PBE | relaxed

POSCAR file:
```
CaTiHg2
1.0
7.147 0.000 0.000
0.000 7.147 0.000
0.000 0.000 7.147
Ca Ti Hg
4 4 8
Direct
0.000 0.000 0.000
0.000 0.500 0.500
0.500 0.000 0.500
0.500 0.500 0.000
0.000 0.000 0.500
0.000 0.500 0.000
0.500 0.000 0.000
0.500 0.500 0.500
0.250 0.250 0.250
0.250 0.250 0.750
0.250 0.750 0.250
0.250 0.750 0.750
0.750 0.250 0.250
0.750 0.250 0.750
0.750 0.750 0.250
0.750 0.750 0.750
```

Total magnetization: 5.45 μB/cell
Distance to the lowest polymorph of the same formula: 73 meV per atom
Formation energy from the elements: -0.114 eV/atom